GGA-PBE BaLiNi2Os, relaxed; formation enthalpy at 0 K = 1.389 eV/atom; DOS at the Fermi energy = 1.011 states/eV per atom; total magnetization = 1.96 μB/cell
1.0
4.314 0.000 0.000
0.000 4.314 0.000
0.000 0.000 4.783
Ba Li Ni Os
1 1 2 1
Direct
0.000 0.000 0.000
0.000 0.000 0.500
0.000 0.500 0.500
0.500 0.000 0.500
0.500 0.500 0.000

GGA-PBE GePb3Au8, relaxed; formation enthalpy at 0 K = -0.006 eV/atom; DOS at the Fermi energy = 0.452 states/eV per atom; total magnetization = 0.00 μB/cell
1.0
10.012 0.000 0.000
-5.006 8.671 0.000
0.000 0.000 5.938
Ge Pb Au
2 6 16
Direct
0.333 0.667 0.000
0.667 0.333 0.500
0.153 0.305 0.749
0.153 0.847 0.749
0.305 0.153 0.249
0.695 0.847 0.749
0.847 0.153 0.249
0.847 0.695 0.249
0.000 0.000 0.001
0.000 0.000 0.501
0.003 0.502 0.006
0.206 0.412 0.254
0.206 0.794 0.254
0.333 0.667 0.573
0.412 0.206 0.754
0.498 0.502 0.006
0.498 0.997 0.006
0.502 0.003 0.506
0.502 0.498 0.506
0.588 0.794 0.254
0.667 0.333 0.073
0.794 0.206 0.754
0.794 0.588 0.754
0.997 0.498 0.506

GGA-PBE NpSn3S6, relaxed; ΔE_f (raw) = -6.0 eV/f.u.; DOS at the Fermi energy = 1.091 states/eV per atom; total magnetization = 5.64 μB/cell
1.0
11.213 0.000 0.000
0.000 3.878 0.000
-2.803 0.000 11.073
Np Sn S
2 6 12
Direct
0.040 0.250 0.180
0.960 0.750 0.820
0.160 0.250 0.598
0.329 0.750 0.011
0.431 0.250 0.343
0.569 0.750 0.657
0.671 0.250 0.989
0.840 0.750 0.402
0.067 0.750 0.370
0.101 0.250 0.954
0.193 0.750 0.753
0.222 0.750 0.197
0.405 0.250 0.591
0.474 0.250 0.117
0.526 0.750 0.883
0.595 0.750 0.409
0.778 0.250 0.803
0.807 0.250 0.247
0.899 0.750 0.046
0.933 0.250 0.630

GGA-PBE Tb4TmTh2, relaxed; formation enthalpy at 0 K = 0.026 eV/atom; energy above the most stable polymorph in this dataset = 0.000 eV per atom; DOS at the Fermi energy = 1.508 states/eV per atom; total magnetization = 0.00 μB/cell
1.0
1.787 1.032 20.153
-1.787 1.032 20.153
0.000 -2.063 20.153
Tb Tm Th
4 1 2
Direct
0.142 0.142 0.142
0.286 0.286 0.286
0.714 0.714 0.714
0.858 0.858 0.858
0.000 0.000 0.000
0.428 0.428 0.428
0.572 0.572 0.572

Which of these has the lowest DOS at the Fermi energy? GePb3Au8

DOS at the Fermi energy of number 4 (Tb4TmTh2)? 1.508 states/eV per atom

total magnetization of number 1 (BaLiNi2Os)? 1.96 μB/cell

What is the formula in the fourth record? Tb4TmTh2